Here is crystalline LiLaSc2H at its relaxed geometry from Alexandria. Energies are from GGA-PBE.

Geometry as POSCAR:
```
LiLaSc2H
1.0
4.613 0.000 0.000
0.000 4.613 0.000
0.000 0.000 5.004
Li La Sc H
1 1 2 1
Direct
0.000 0.000 0.000
0.500 0.500 0.000
0.000 0.500 0.500
0.500 0.000 0.500
0.500 0.500 0.500
```

Results
The spin magnetization is 0.20 μB per atom. As for the density of states at the Fermi level: 1.24 states/eV/atom. Its final energy is -22.86 eV per cell.

=====

Here is crystalline LiLaSi2H at its relaxed geometry from Alexandria. Energies are from GGA-PBE.

Geometry as POSCAR:
```
LiLaSi2H
1.0
4.426 0.000 0.000
0.000 4.426 0.000
0.000 0.000 4.324
Li La Si H
1 1 2 1
Direct
0.000 0.000 0.000
0.500 0.500 0.000
0.000 0.500 0.500
0.500 0.000 0.500
0.000 0.000 0.500
```

Results
The spin magnetization is 0.00 μB per atom. As for the density of states at the Fermi level: 0.54 states/eV/atom. Its final energy is -21.39 eV per cell.

=====

Here is crystalline Li2LaSiH at its relaxed geometry from Alexandria. Energies are from GGA-PBE.

Geometry as POSCAR:
```
Li2LaSiH
1.0
4.324 0.000 0.000
0.000 4.324 0.000
0.000 0.000 4.916
Li La Si H
2 1 1 1
Direct
0.000 0.500 0.000
0.500 0.000 0.000
0.000 0.000 0.500
0.500 0.500 0.500
0.000 0.000 0.000
```

Results
The spin magnetization is 0.00 μB per atom. As for the density of states at the Fermi level: 0.26 states/eV/atom. The relative energy among the computed polymorphs is 0.072 eV/atom.

=====

Here is crystalline Li2LaSiH at its relaxed geometry from Alexandria. Energies are from GGA-PBE.

Geometry as POSCAR:
```
Li2LaSiH
1.0
2.178 -5.486 0.000
2.178 5.486 0.000
0.000 0.000 6.857
Li La Si H
4 2 2 2
Direct
0.159 0.841 0.563
0.159 0.841 0.937
0.841 0.159 0.063
0.841 0.159 0.437
0.424 0.576 0.750
0.576 0.424 0.250
0.294 0.706 0.250
0.706 0.294 0.750
0.000 0.000 0.000
0.000 0.000 0.500
```

Results
The spin magnetization is 0.00 μB per atom. As for the density of states at the Fermi level: 0.06 states/eV/atom. The relative energy among the computed polymorphs is 0.000 eV/atom.

=====

Here is crystalline LiLa2SiH at its relaxed geometry from Alexandria. Energies are from GGA-PBE.

Geometry as POSCAR:
```
LiLa2SiH
1.0
5.016 0.000 0.000
0.000 5.016 0.000
0.000 0.000 4.064
Li La Si H
1 2 1 1
Direct
0.000 0.000 0.000
0.000 0.500 0.500
0.500 0.000 0.500
0.500 0.500 0.000
0.000 0.000 0.500
```

Results
The spin magnetization is 0.00 μB per atom. As for the density of states at the Fermi level: 0.45 states/eV/atom. Its final energy is -22.83 eV per cell.

=====

Here is crystalline Li2LaSnH at its relaxed geometry from Alexandria. Energies are from GGA-PBE.

Geometry as POSCAR:
```
Li2LaSnH
1.0
4.575 0.000 0.000
0.000 4.575 0.000
0.000 0.000 4.929
Li La Sn H
2 1 1 1
Direct
0.000 0.500 0.000
0.500 0.000 0.000
0.000 0.000 0.500
0.500 0.500 0.500
0.000 0.000 0.000
```

Results
The spin magnetization is 0.00 μB per atom. As for the density of states at the Fermi level: 0.30 states/eV/atom. Its final energy is -18.43 eV per cell.